1.
A geometry-optimized Sr2SnS3 structure, computed with PBE.

Total energy   -58.20 eV per cell
Formation energy without anion corrections   -1.559 eV/atom
Distance to the lowest polymorph of the same formula   5 meV/atom

Unit cell a=4.251 b=5.987 c=12.767 alpha=90.00 beta=90.00 gamma=90.00
Space group Immm (No. 71)
Symmetry-distinct sites (fractional):
Sr: 0.000 0.000 0.165 [4 per cell]
Sn: 0.000 0.000 0.500 [2 per cell]
S: 0.000 0.500 0.165 [4 per cell]
S: 0.000 0.500 0.500 [2 per cell]



2.
A geometry-optimized Pm2Er2Rh3 structure, computed with PBE.

Calculated formation energy   -0.728 eV per atom
Total energy   -183.12 eV per cell
Distance to the lowest polymorph of the same formula   0 meV/atom

Unit cell a=8.655 b=8.655 c=8.655 alpha=90.00 beta=90.00 gamma=90.00
Space group I2_13 (No. 199)
Symmetry-distinct sites (fractional):
Pm: 0.186 0.186 0.186 [8 per cell]
Er: 0.055 0.445 0.555 [8 per cell]
Rh: 0.000 0.250 0.836 [12 per cell]



3.
A geometry-optimized Rb2ZrOs structure, computed with PBE.

Calculated formation energy   1.222 eV per atom
Total energy   -67.31 eV per cell
Distance to the lowest polymorph of the same formula   0 meV/atom

Unit cell a=13.163 b=13.163 c=4.800 alpha=90.00 beta=90.00 gamma=90.00
Space group I-42d (No. 122)
Symmetry-distinct sites (fractional):
Rb: 0.091 0.250 0.125 [8 per cell]
Zr: 0.000 0.000 0.500 [4 per cell]
Os: 0.000 0.000 0.000 [4 per cell]



4.
A geometry-optimized HoNiGeRh structure, computed with PBE.

Calculated formation energy   -0.411 eV per atom
Total energy   -47.95 eV per cell

Unit cell a=4.373 b=3.625 c=9.146 alpha=90.00 beta=90.00 gamma=90.00
Space group Amm2 (No. 38)
Symmetry-distinct sites (fractional):
Ho: 0.000 0.000 0.000 [2 per cell]
Ni: 0.500 0.000 0.293 [2 per cell]
Ge: 0.500 0.000 0.607 [2 per cell]
Rh: 0.000 0.000 0.724 [2 per cell]



5.
A geometry-optimized K3NaCr2Br9 structure, computed with PBE.

Total energy   -56.84 eV per cell
Formation energy without anion corrections   -1.195 eV/atom

Unit cell a=7.5317 b=7.5317 c=9.4319 alpha=90.00 beta=90.00 gamma=120.00
Space group P-3m1 (No. 164)
Symmetry-distinct sites (fractional):
K: 0.0000 0.0000 0.0000 [1 per cell]
K: 0.3333 0.6667 0.6731 [2 per cell]
Na: 0.0000 0.0000 0.5000 [1 per cell]
Cr: 0.3333 0.6667 0.1638 [2 per cell]
Br: 0.0000 0.5000 0.0000 [3 per cell]
Br: 0.1734 0.3467 0.3132 [6 per cell]



6.
A geometry-optimized MgOsRh structure, computed with PBE.

Calculated formation energy   0.029 eV per atom
Total energy   -40.18 eV per cell
Distance to the lowest polymorph of the same formula   68 meV/atom

Unit cell a=2.7958 b=2.7958 c=13.2765 alpha=90.00 beta=90.00 gamma=120.00
Space group P-6m2 (No. 187)
Symmetry-distinct sites (fractional):
Mg: 0.0000 0.0000 0.1720 [2 per cell]
Os: 0.0000 0.0000 0.5000 [1 per cell]
Os: 0.3333 0.6667 0.0000 [1 per cell]
Rh: 0.3333 0.6667 0.3392 [2 per cell]



7.
A geometry-optimized DyEr2C3 structure, computed with PBE.

Calculated formation energy   -0.083 eV per atom
Total energy   -167.58 eV per cell

Unit cell a=5.630 b=10.096 c=7.510 alpha=90.00 beta=90.00 gamma=90.00
Space group Imma (No. 74)
Symmetry-distinct sites (fractional):
Dy: 0.000 0.250 0.027 [4 per cell]
Er: 0.000 0.074 0.669 [8 per cell]
C: 0.122 0.000 0.000 [8 per cell]
C: 0.250 0.250 0.750 [4 per cell]



8.
A geometry-optimized Tb2SmCl structure, computed with PBE.

Total energy   -55.40 eV per cell
Formation energy without anion corrections   -0.660 eV/atom

Unit cell a=3.6248 b=3.6248 c=29.9535 alpha=90.00 beta=90.00 gamma=120.00
Space group R-3m (No. 166, hexagonal axes)
Symmetry-distinct sites (fractional):
Tb: 0.0000 0.0000 0.2390 [6 per cell]
Sm: 0.0000 0.0000 0.0000 [3 per cell]
Cl: 0.0000 0.0000 0.5000 [3 per cell]



9.
A geometry-optimized Rb2CoSnI6 structure, computed with PBE.

Total energy   -58.38 eV per cell
Formation energy without anion corrections   -0.684 eV/atom

Unit cell a=8.330 b=8.330 c=11.752 alpha=90.00 beta=90.00 gamma=90.00
Space group I4/mmm (No. 139)
Symmetry-distinct sites (fractional):
Rb: 0.000 0.500 0.250 [4 per cell]
Co: 0.000 0.000 0.000 [2 per cell]
Sn: 0.000 0.000 0.500 [2 per cell]
I: 0.000 0.000 0.236 [4 per cell]
I: 0.236 0.236 0.000 [8 per cell]



10.
A geometry-optimized PdAu2O structure, computed with PBE.

Total energy   -57.61 eV per cell
Formation energy without anion corrections   0.576 eV/atom

Unit cell a=4.915 b=4.915 c=13.282 alpha=90.00 beta=90.00 gamma=90.00
Space group I-42d (No. 122)
Symmetry-distinct sites (fractional):
Pd: 0.000 0.000 0.000 [4 per cell]
Au: 0.130 0.250 0.625 [8 per cell]
O: 0.000 0.000 0.500 [4 per cell]



11.
A geometry-optimized Ho12H5Pt3 structure, computed with PBE.

Total energy   -807.94 eV per cell

Unit cell a=15.057 b=15.057 c=15.057 alpha=90.00 beta=90.00 gamma=90.00
Space group Ia-3d (No. 230)
Symmetry-distinct sites (fractional):
Ho: 0.036 0.060 0.655 [96 per cell]
H: 0.000 0.000 0.000 [16 per cell]
H: 0.000 0.250 0.375 [24 per cell]
Pt: 0.000 0.250 0.125 [24 per cell]



12.
A geometry-optimized PaNiIr structure, computed with PBE.

Calculated formation energy   -0.147 eV per atom
Total energy   -98.31 eV per cell
Distance to the lowest polymorph of the same formula   504 meV/atom

Unit cell a=3.291 b=3.291 c=19.926 alpha=90.00 beta=90.00 gamma=90.00
Space group I4/mmm (No. 139)
Symmetry-distinct sites (fractional):
Pa: 0.000 0.000 0.073 [4 per cell]
Ni: 0.000 0.000 0.219 [4 per cell]
Ir: 0.000 0.000 0.348 [4 per cell]